# 1
VASP calculation (PBEsol) on crystalline ScOsAu at its relaxed geometry.

Output
The calculation puts the total DFT energy (no corrections) at -7.55 eV/atom. As for the density of states at the Fermi level: 3.20 states/eV/f.u.

The structure in CIF format:
```
data_ScOsAu
_space_group_name_H-M_alt 'P 3 m 1'
_space_group_IT_number 156
_cell_length_a 4.6012
_cell_length_b 4.6012
_cell_length_c 2.6774
_cell_angle_alpha 90.00
_cell_angle_beta 90.00
_cell_angle_gamma 120.00
loop_
_space_group_symop_operation_xyz
'x,y,z'
'-y,x-y,z'
'-x+y,-x,z'
'-y,-x,z'
'-x+y,y,z'
'x,x-y,z'
loop_
_atom_site_label
_atom_site_type_symbol
_atom_site_fract_x
_atom_site_fract_y
_atom_site_fract_z
_atom_site_occupancy
Sc1 Sc 0.0000 0.0000 0.0000 1
Os1 Os 0.6667 0.3333 0.3309 1
Au1 Au 0.3333 0.6667 0.7383 1
```

# 2
VASP calculation (PBEsol) on crystalline ScOsAu at its relaxed geometry.

Output
The calculation puts the total DFT energy (no corrections) at -7.63 eV/atom. As for the density of states at the Fermi level: 2.36 states/eV/f.u.

The structure in CIF format:
```
data_ScOsAu
_space_group_name_H-M_alt 'I m m 2'
_space_group_IT_number 44
_cell_length_a 2.743
_cell_length_b 4.094
_cell_length_c 8.796
_cell_angle_alpha 90.00
_cell_angle_beta 90.00
_cell_angle_gamma 90.00
loop_
_space_group_symop_operation_xyz
'x,y,z'
'-x,-y,z'
'-x,y,z'
'x,-y,z'
'x+1/2,y+1/2,z+1/2'
'-x+1/2,-y+1/2,z+1/2'
'-x+1/2,y+1/2,z+1/2'
'x+1/2,-y+1/2,z+1/2'
loop_
_atom_site_label
_atom_site_type_symbol
_atom_site_fract_x
_atom_site_fract_y
_atom_site_fract_z
_atom_site_occupancy
Sc1 Sc 0.000 0.000 0.000 1
Os1 Os 0.000 0.000 0.341 1
Au1 Au 0.000 0.000 0.676 1
```

# 3
VASP calculation (PBEsol) on crystalline Sc2OsAu at its relaxed geometry.

Output
The calculation puts the total DFT energy (no corrections) at -8.01 eV/atom. As for the density of states at the Fermi level: 1.80 states/eV/f.u.

The structure in CIF format:
```
data_Sc2OsAu
_space_group_name_H-M_alt 'P 4/m m m'
_space_group_IT_number 123
_space_group_name_Hall '-P 4 2'
_cell_length_a 3.222
_cell_length_b 3.222
_cell_length_c 6.702
_cell_angle_alpha 90.00
_cell_angle_beta 90.00
_cell_angle_gamma 90.00
loop_
_atom_site_label
_atom_site_type_symbol
_atom_site_fract_x
_atom_site_fract_y
_atom_site_fract_z
_atom_site_occupancy
Sc1 Sc 0.000 0.000 0.230 1
Os1 Os 0.500 0.500 0.000 1
Au1 Au 0.500 0.500 0.500 1
```

# 4
VASP calculation (PBEsol) on crystalline ScSiOs2Au at its relaxed geometry.

Output
The calculation puts the total DFT energy (no corrections) at -6.09 eV/atom. As for the density of states at the Fermi level: 5.47 states/eV/f.u.

The structure in CIF format:
```
data_ScSiOs2Au
_space_group_name_H-M_alt 'P 4/m m m'
_space_group_IT_number 123
_space_group_name_Hall '-P 4 2'
_cell_length_a 4.581
_cell_length_b 4.581
_cell_length_c 4.667
_cell_angle_alpha 90.00
_cell_angle_beta 90.00
_cell_angle_gamma 90.00
loop_
_atom_site_label
_atom_site_type_symbol
_atom_site_fract_x
_atom_site_fract_y
_atom_site_fract_z
_atom_site_occupancy
Sc1 Sc 0.000 0.000 0.000 1
Si1 Si 0.000 0.000 0.500 1
Os1 Os 0.000 0.500 0.000 1
Au1 Au 0.500 0.500 0.500 1
```

# 5
VASP calculation (PBEsol) on crystalline YScOs2Au at its relaxed geometry.

Output
The calculation puts the total DFT energy (no corrections) at -6.87 eV/atom. As for the density of states at the Fermi level: 9.10 states/eV/f.u.

The structure in CIF format:
```
data_YScOs2Au
_space_group_name_H-M_alt 'P 4/m m m'
_space_group_IT_number 123
_space_group_name_Hall '-P 4 2'
_cell_length_a 4.912
_cell_length_b 4.912
_cell_length_c 4.889
_cell_angle_alpha 90.00
_cell_angle_beta 90.00
_cell_angle_gamma 90.00
loop_
_atom_site_label
_atom_site_type_symbol
_atom_site_fract_x
_atom_site_fract_y
_atom_site_fract_z
_atom_site_occupancy
Y1 Y 0.000 0.000 0.000 1
Sc1 Sc 0.500 0.500 0.000 1
Os1 Os 0.000 0.500 0.500 1
Au1 Au 0.000 0.000 0.500 1
```

# 6
VASP calculation (PBEsol) on crystalline OsAu2Se at its relaxed geometry.

Output
The calculation puts the total DFT energy (no corrections) at -5.55 eV/atom. As for the density of states at the Fermi level: 1.75 states/eV/f.u.

The structure in CIF format:
```
data_OsAu2Se
_space_group_name_H-M_alt 'C 1 m 1'
_space_group_IT_number 8
_cell_length_a 11.981
_cell_length_b 2.913
_cell_length_c 4.465
_cell_angle_alpha 90.00
_cell_angle_beta 104.94
_cell_angle_gamma 90.00
loop_
_space_group_symop_operation_xyz
'x,y,z'
'x,-y,z'
'x+1/2,y+1/2,z'
'x+1/2,-y+1/2,z'
loop_
_atom_site_label
_atom_site_type_symbol
_atom_site_fract_x
_atom_site_fract_y
_atom_site_fract_z
_atom_site_occupancy
Os1 Os 0.000 0.000 0.000 1
Au1 Au 0.045 0.500 0.528 1
Au2 Au 0.205 0.500 0.145 1
Se1 Se 0.337 0.000 0.835 1
```